No. 1
First-principles (PBE-GGA) data for a geometry-optimized Ba2BeTe structure, as listed in Alexandria.

Unit cell a=8.9487 b=8.9487 c=8.9487 alpha=31.11 beta=31.11 gamma=31.11
Sites, in units of the cell vectors:
Ba 0.2495 0.2495 0.2495
Ba 0.7505 0.7505 0.7505
Be 0.0000 0.0000 0.0000
Te 0.5000 0.5000 0.5000

Results
- crystal system = trigonal
- N(E_F) (states/eV/f.u.) = 4.350
- raw total energy (eV per atom) = -3.061



No. 2
First-principles (PBE-GGA) data for a geometry-optimized BaBeTe2 structure, as listed in Alexandria.

Unit cell a=5.3234 b=5.3234 c=4.3643 alpha=90.00 beta=90.00 gamma=100.17
Sites, in units of the cell vectors:
Ba 0.0000 0.0000 0.0000
Be 0.5000 0.5000 0.0000
Te 0.0000 0.5000 0.5000
Te 0.5000 0.0000 0.5000

Results
- crystal system = orthorhombic
- N(E_F) (states/eV/f.u.) = 1.503
- raw total energy (eV per atom) = -3.169



No. 3
First-principles (PBE-GGA) data for a geometry-optimized BaBeTe2 structure, as listed in Alexandria.

Unit cell a=7.9284 b=7.9284 c=7.9284 alpha=31.72 beta=31.72 gamma=31.72
Sites, in units of the cell vectors:
Ba 0.0000 0.0000 0.0000
Be 0.5000 0.5000 0.5000
Te 0.2277 0.2277 0.2277
Te 0.7723 0.7723 0.7723

Results
- crystal system = trigonal
- N(E_F) (states/eV/f.u.) = 0.000
- raw total energy (eV per atom) = -3.559



No. 4
First-principles (PBE-GGA) data for a geometry-optimized Ba2BeTe structure, as listed in Alexandria.

Unit cell a=9.1995 b=9.1995 c=8.9610 alpha=114.91 beta=114.91 gamma=28.67
Sites, in units of the cell vectors:
Ba 0.0000 0.0000 0.0000
Ba 0.0351 0.0351 0.4586
Ba 0.3058 0.3058 0.5053
Ba 0.7355 0.7355 0.0037
Be 0.3407 0.3407 0.9206
Be 0.3794 0.3794 0.1735
Te 0.5218 0.5218 0.7294
Te 0.6455 0.6455 0.3061

Results
- crystal system = monoclinic
- N(E_F) (states/eV/f.u.) = 2.524
- raw total energy (eV per atom) = -3.183



Look up the N(E_F) of the fourth one. 2.524 states/eV/f.u.



Look up the N(E_F) of the first one. 4.350 states/eV/f.u.